# CaVSeBr2 (PBE, relaxed)
# **Fermi-level density of states**: 1.54 states/eV/cell
# **Total magnetization**: 3.0 Bohr magnetons per cell
# **Calculated density**: 3.3 g cm⁻³
# **Offset from the most stable computed form**: 590 meV per atom
# **ΔE_f (raw)**: -305 meV per atom
data_CaVSeBr2
_cell_length_a 5.3948
_cell_length_b 5.3948
_cell_length_c 5.7594
_cell_angle_alpha 90.00
_cell_angle_beta 90.00
_cell_angle_gamma 90.00
_symmetry_space_group_name_H-M 'P 4/m m m'
_symmetry_Int_Tables_number 123
_symmetry_space_group_name_Hall '-P 4 2'
loop_
_atom_site_label
_atom_site_type_symbol
_atom_site_fract_x
_atom_site_fract_y
_atom_site_fract_z
_atom_site_occupancy
Ca1 Ca 0.0000 0.0000 0.0000 1
V1 V 0.5000 0.5000 0.5000 1
Se1 Se 0.0000 0.0000 0.5000 1
Br1 Br 0.0000 0.5000 0.0000 1